# GGA-PBE Zn2AuN, relaxed
data_Zn2AuN
_cell_length_a 3.0948
_cell_length_b 3.0948
_cell_length_c 22.1463
_cell_angle_alpha 90.00
_cell_angle_beta 90.00
_cell_angle_gamma 120.00
_space_group_name_H-M_alt 'R -3 m'
_space_group_IT_number 166
_space_group_name_Hall '-R 3 2"'
loop_
_atom_site_label
_atom_site_type_symbol
_atom_site_fract_x
_atom_site_fract_y
_atom_site_fract_z
_atom_site_occupancy
Zn1 Zn 0.0000 0.0000 0.1182 1
Au1 Au 0.0000 0.0000 0.0000 1
N1 N 0.0000 0.0000 0.5000 1
# - E_tot: -3.260 eV/atom
# - D(E_F): 0.68 states/eV/f.u.
# - Relative energy among the computed polymorphs: 173.0 meV per atom